1.
Nd3DyEr2CoTe2: optimized geometry, PBE.

The structure in CIF format:
```
data_Nd3DyEr2CoTe2
_symmetry_space_group_name_H-M 'A m m 2'
_symmetry_Int_Tables_number 38
_cell_length_a 4.004
_cell_length_b 14.686
_cell_length_c 8.453
_cell_angle_alpha 90.00
_cell_angle_beta 90.00
_cell_angle_gamma 90.00
loop_
_symmetry_equiv_pos_as_xyz
'x,y,z'
'-x,-y,z'
'-x,y,z'
'x,-y,z'
'x,y+1/2,z+1/2'
'-x,-y+1/2,z+1/2'
'-x,y+1/2,z+1/2'
'x,-y+1/2,z+1/2'
loop_
_atom_site_label
_atom_site_fract_x
_atom_site_fract_y
_atom_site_fract_z
Nd1 0.000 0.000 0.000
Nd2 0.000 0.202 0.604
Dy1 0.500 0.000 0.634
Er1 0.500 0.115 0.287
Co1 0.000 0.000 0.399
Te1 0.500 0.167 0.902
```

For the total energy, the calculation gives -5.312 eV per atom.



2.
DyEr2Co6Ni3: optimized geometry, PBE.

The structure in CIF format:
```
data_DyEr2Co6Ni3
_symmetry_space_group_name_H-M 'R -3 m'
_symmetry_Int_Tables_number 166
_symmetry_space_group_name_Hall '-R 3 2"'
_cell_length_a 4.8836
_cell_length_b 4.8836
_cell_length_c 24.6392
_cell_angle_alpha 90.00
_cell_angle_beta 90.00
_cell_angle_gamma 120.00
loop_
_atom_site_label
_atom_site_fract_x
_atom_site_fract_y
_atom_site_fract_z
Dy1 0.0000 0.0000 0.0000
Er1 0.0000 0.0000 0.1391
Co1 0.0012 0.5006 0.9183
Ni1 0.0000 0.0000 0.3335
Ni2 0.0000 0.0000 0.5000
```

For the total energy, the calculation gives -6.361 eV per atom. The energy of formation from the pure elements is -0.272 eV/atom.



3.
DyEr2Co8Ni: optimized geometry, PBE.

The structure in CIF format:
```
data_DyEr2Co8Ni
_symmetry_space_group_name_H-M 'R -3 m'
_symmetry_Int_Tables_number 166
_symmetry_space_group_name_Hall '-R 3 2"'
_cell_length_a 4.9041
_cell_length_b 4.9041
_cell_length_c 24.4066
_cell_angle_alpha 90.00
_cell_angle_beta 90.00
_cell_angle_gamma 120.00
loop_
_atom_site_label
_atom_site_fract_x
_atom_site_fract_y
_atom_site_fract_z
Dy1 0.0000 0.0000 0.0000
Er1 0.0000 0.0000 0.1395
Co1 0.0000 0.0000 0.3341
Co2 0.0018 0.5009 0.9188
Ni1 0.0000 0.0000 0.5000
```

For the total energy, the calculation gives -6.563 eV per atom. The energy of formation from the pure elements is -0.217 eV/atom.



4.
DyEr2Co2Ni7: optimized geometry, PBE.

The structure in CIF format:
```
data_DyEr2Co2Ni7
_symmetry_space_group_name_H-M 'R -3 m'
_symmetry_Int_Tables_number 166
_symmetry_space_group_name_Hall '-R 3 2"'
_cell_length_a 4.9197
_cell_length_b 4.9197
_cell_length_c 24.2153
_cell_angle_alpha 90.00
_cell_angle_beta 90.00
_cell_angle_gamma 120.00
loop_
_atom_site_label
_atom_site_fract_x
_atom_site_fract_y
_atom_site_fract_z
Dy1 0.0000 0.0000 0.0000
Er1 0.0000 0.0000 0.1389
Co1 0.0000 0.0000 0.3331
Ni1 0.0000 0.0000 0.5000
Ni2 0.0012 0.5006 0.9179
```

For the total energy, the calculation gives -5.944 eV per atom. The energy of formation from the pure elements is -0.367 eV/atom.



5.
Dy2ErCo6Ni3: optimized geometry, PBE.

The structure in CIF format:
```
data_Dy2ErCo6Ni3
_symmetry_space_group_name_H-M 'R -3 m'
_symmetry_Int_Tables_number 166
_symmetry_space_group_name_Hall '-R 3 2"'
_cell_length_a 4.8835
_cell_length_b 4.8835
_cell_length_c 24.6367
_cell_angle_alpha 90.00
_cell_angle_beta 90.00
_cell_angle_gamma 120.00
loop_
_atom_site_label
_atom_site_fract_x
_atom_site_fract_y
_atom_site_fract_z
Dy1 0.0000 0.0000 0.1386
Er1 0.0000 0.0000 0.0000
Co1 0.9996 0.4998 0.0808
Ni1 0.0000 0.0000 0.3333
Ni2 0.0000 0.0000 0.5000
```

For the total energy, the calculation gives -6.349 eV per atom. The energy of formation from the pure elements is -0.256 eV/atom.



6.
Dy2ErCoNi8: optimized geometry, PBE.

The structure in CIF format:
```
data_Dy2ErCoNi8
_symmetry_space_group_name_H-M 'R -3 m'
_symmetry_Int_Tables_number 166
_symmetry_space_group_name_Hall '-R 3 2"'
_cell_length_a 4.9188
_cell_length_b 4.9188
_cell_length_c 24.2696
_cell_angle_alpha 90.00
_cell_angle_beta 90.00
_cell_angle_gamma 120.00
loop_
_atom_site_label
_atom_site_fract_x
_atom_site_fract_y
_atom_site_fract_z
Dy1 0.0000 0.0000 0.1394
Er1 0.0000 0.0000 0.0000
Co1 0.0000 0.0000 0.5000
Ni1 0.0000 0.0000 0.3330
Ni2 0.9997 0.4998 0.0821
```

For the total energy, the calculation gives -5.833 eV per atom. The energy of formation from the pure elements is -0.382 eV/atom.



Total moment values, unit μB per atom, following the record order: 0.001, 0.591, 0.779, 0.324, 0.570, 0.139.